(1)
A geometry-optimized ZnCuAu2 structure. Source: the Alexandria database, functional GGA-PBEsol.

Cell and atoms, written as POSCAR:
```
ZnCuAu2
1.0
4.5172 0.0000 0.0000
0.0000 2.8995 0.0000
-0.4595 0.0000 8.9835
Zn Cu Au
2 2 4
direct
0.2054 0.0000 0.3862 Zn
0.7946 0.0000 0.6138 Zn
0.3062 0.0000 0.8919 Cu
0.6938 0.0000 0.1081 Cu
0.1948 0.5000 0.1326 Au
0.2979 0.5000 0.6419 Au
0.7021 0.5000 0.3581 Au
0.8052 0.5000 0.8674 Au
```

ΔH_f (0 K): -145 meV/atom

(2)
A geometry-optimized Tl2GeTe3 structure. Source: the Alexandria database, functional GGA-PBEsol.

Cell and atoms, written as POSCAR:
```
Tl2GeTe3
1.0
8.1924 0.0000 0.0000
0.0000 21.3760 0.0000
0.0000 0.0000 8.4317
Tl Ge Te
16 8 24
direct
0.1690 0.1681 0.0272 Tl
0.1690 0.3319 0.0272 Tl
0.2187 0.0073 0.9527 Tl
0.2187 0.4927 0.9527 Tl
0.2813 0.5073 0.4527 Tl
0.2813 0.9927 0.4527 Tl
0.3310 0.6681 0.5272 Tl
0.3310 0.8319 0.5272 Tl
0.6690 0.1681 0.4728 Tl
0.6690 0.3319 0.4728 Tl
0.7187 0.0073 0.5473 Tl
0.7187 0.4927 0.5473 Tl
0.7813 0.5073 0.0473 Tl
0.7813 0.9927 0.0473 Tl
0.8310 0.6681 0.9728 Tl
0.8310 0.8319 0.9728 Tl
0.1587 0.1667 0.5178 Ge
0.1587 0.3333 0.5178 Ge
0.3413 0.6667 0.0178 Ge
0.3413 0.8333 0.0178 Ge
0.6587 0.1667 0.9822 Ge
0.6587 0.3333 0.9822 Ge
0.8413 0.6667 0.4822 Ge
0.8413 0.8333 0.4822 Ge
0.0028 0.0876 0.3320 Te
0.0028 0.4124 0.3320 Te
0.0174 0.7500 0.3161 Te
0.1268 0.6086 0.1948 Te
0.1268 0.8914 0.1948 Te
0.1765 0.7500 0.8435 Te
0.3235 0.2500 0.3435 Te
0.3732 0.1086 0.6948 Te
0.3732 0.3914 0.6948 Te
0.4826 0.2500 0.8161 Te
0.4972 0.5876 0.8320 Te
0.4972 0.9124 0.8320 Te
0.5028 0.0876 0.1680 Te
0.5028 0.4124 0.1680 Te
0.5174 0.7500 0.1839 Te
0.6268 0.6086 0.3052 Te
0.6268 0.8914 0.3052 Te
0.6765 0.7500 0.6565 Te
0.8235 0.2500 0.1565 Te
0.8732 0.1086 0.8052 Te
0.8732 0.3914 0.8052 Te
0.9826 0.2500 0.6839 Te
0.9972 0.5876 0.6680 Te
0.9972 0.9124 0.6680 Te
```

formation energy (no corrections): -16.6 kJ per mole of atoms

| no. | raw total energy (eV per cell) |
| --- | --- |
| 1 | -28.7 |
| 2 | -174.5 |